1.
First-principles (PBE) data for an optimized crystal structure of AcSbRh, as listed in Alexandria.

POSCAR file:
```
AcSbRh
1.0
3.565 0.000 0.000
0.000 3.565 0.000
0.000 0.000 11.824
Ac Sb Rh
2 2 2
Direct
0.000 0.000 0.000
0.500 0.500 0.500
0.000 0.000 0.285
0.500 0.500 0.785
0.000 0.000 0.685
0.500 0.500 0.185
```

Summary:
Space-group type = I4mm (107)
Excess energy over the best structure of this formula in the dataset = 0.426 eV/atom
Raw formation energy = -0.506 eV/atom

***

2.
First-principles (PBE) data for an optimized crystal structure of Cs5MgBr8, as listed in Alexandria.

POSCAR file:
```
Cs5MgBr8
1.0
-5.208 5.208 6.113
5.208 -5.208 6.113
5.208 5.208 -6.113
Cs Mg Br
5 1 8
Direct
0.000 0.000 0.000
0.116 0.521 0.876
0.479 0.355 0.596
0.645 0.240 0.124
0.760 0.884 0.404
0.250 0.750 0.500
0.016 0.224 0.413
0.262 0.044 0.666
0.379 0.596 0.334
0.397 0.984 0.208
0.404 0.738 0.782
0.776 0.189 0.792
0.811 0.603 0.587
0.956 0.621 0.218
```

Summary:
Space-group type = I-4 (82)
Raw formation energy = -1.500 eV/atom

***

3.
First-principles (PBE) data for an optimized crystal structure of Ce4ErSb6, as listed in Alexandria.

POSCAR file:
```
Ce4ErSb6
1.0
6.088 3.515 5.170
-6.088 3.515 5.170
0.000 -7.030 5.170
Ce Er Sb
8 2 12
Direct
0.138 0.750 0.362
0.250 0.250 0.250
0.250 0.638 0.862
0.362 0.138 0.750
0.638 0.862 0.250
0.750 0.362 0.138
0.750 0.750 0.750
0.862 0.250 0.638
0.000 0.000 0.000
0.500 0.500 0.500
0.066 0.921 0.674
0.079 0.326 0.934
0.174 0.421 0.566
0.326 0.934 0.079
0.421 0.566 0.174
0.434 0.826 0.579
0.566 0.174 0.421
0.579 0.434 0.826
0.674 0.066 0.921
0.826 0.579 0.434
0.921 0.674 0.066
0.934 0.079 0.326
```

Summary:
Space-group type = R-3c (167)
Raw formation energy = -0.896 eV/atom

***

4.
First-principles (PBE) data for an optimized crystal structure of Sc4Zn2AgHg, as listed in Alexandria.

POSCAR file:
```
Sc4Zn2AgHg
1.0
2.418 1.396 7.909
-2.418 1.396 7.909
0.000 -2.792 7.909
Sc Zn Ag Hg
4 2 1 1
Direct
0.124 0.124 0.124
0.374 0.374 0.374
0.626 0.626 0.626
0.876 0.876 0.876
0.251 0.251 0.251
0.749 0.749 0.749
0.000 0.000 0.000
0.500 0.500 0.500
```

Summary:
Space-group type = R-3m (166)
Energy of formation from the pure elements = -34 kJ per mole of atoms

***

5.
First-principles (PBE) data for an optimized crystal structure of PmHgH8Ir2, as listed in Alexandria.

POSCAR file:
```
PmHgH8Ir2
1.0
4.520 -2.134 0.000
4.520 2.134 0.000
-2.075 0.000 5.818
Pm Hg H Ir
1 1 8 2
Direct
0.000 0.000 0.000
0.500 0.500 0.500
0.063 0.555 0.161
0.209 0.209 0.378
0.408 0.408 0.849
0.445 0.937 0.839
0.555 0.063 0.161
0.592 0.592 0.151
0.791 0.791 0.622
0.937 0.445 0.839
0.222 0.222 0.660
0.778 0.778 0.340
```

Summary:
Space-group type = C2/m (12)

***

6.
First-principles (PBE) data for an optimized crystal structure of K2HfHg, as listed in Alexandria.

POSCAR file:
```
K2HfHg
1.0
11.457 0.000 0.000
0.000 11.457 0.000
0.000 0.000 5.541
K Hf Hg
8 4 4
Direct
0.139 0.750 0.125
0.250 0.139 0.875
0.250 0.361 0.375
0.361 0.750 0.625
0.639 0.250 0.625
0.750 0.639 0.375
0.750 0.861 0.875
0.861 0.250 0.125
0.000 0.000 0.500
0.000 0.500 0.750
0.500 0.000 0.250
0.500 0.500 0.000
0.000 0.000 0.000
0.000 0.500 0.250
0.500 0.000 0.750
0.500 0.500 0.500
```

Summary:
Space-group type = I-42d (122)
Energy of formation from the pure elements = 80 kJ per mole of atoms

***

Result set for E_tot: -34.203, -40.252, -125.776, -33.849, -50.675, -36.520 eV/cell, one per record in the order listed.